The following is a PBE+U calculation of CrP2CO after structural relaxation, from Alexandria via LeMat-Bulk.

a b c (Å): 4.635 4.635 3.484
angles (deg): 90.00 90.00 90.00
Sites, in units of the cell vectors:
Cr  0.000  0.000  0.000
P  0.000  0.500  0.000
P  0.500  0.000  0.000
C  0.500  0.500  0.500
O  0.000  0.000  0.500

Symmetry: P4/mmm (123)
E_tot (eV for the cell shown): -25.68
Crystal system: tetragonal
Energy relative to the lowest polymorph listed for this composition (meV per atom): 397